Record 1
Entry from Alexandria: a PBEsol-optimized structure of InSb (meta-GGA SCAN).

- Total DFT energy (no corrections): -35.25 eV/atom
- Formation energy from raw total energies: 0.074 eV per atom
- Magnetization: 0.0 μB per cell

a = 3.0745 Å, b = 5.2565 Å, c = 6.6376 Å
α = 90.00°, β = 90.10°, γ = 90.00°
With the nearest neighbours (Å) after each atom.
Space group P2_1/m (No. 11)
Asymmetric unit:
In1 0.2196 0.2500 0.3898  4 In 3.07-3.30, 3 Sb 3.25-3.31
Sb1 0.0023 0.2500 0.8786  4 Sb 3.07-3.08, 3 In 3.25-3.31


Record 2
Entry from Alexandria: a PBEsol-optimized structure of In5Sb (meta-GGA SCAN).

- Total DFT energy (no corrections): -33.95 eV/atom
- Formation energy from raw total energies: 0.077 eV per atom
- Magnetization: 0.0 μB per cell

a = 4.8091 Å, b = 13.2818 Å, c = 4.8620 Å
α = 90.00°, β = 90.00°, γ = 90.00°
With the nearest neighbours (Å) after each atom.
Space group Cmmm (No. 65)
Asymmetric unit:
In1 0.0000 0.0000 0.0000  8 In 3.27-3.28, 4 Sb 3.42
In2 0.0000 0.1653 0.5000  2 Sb 3.26, 10 In 3.28-3.42
In3 0.0000 0.3332 0.0000  10 In 3.27-3.42, 2 Sb 3.29
Sb1 0.0000 0.5000 0.5000  12 In 3.26-3.42


Record 3
Entry from Alexandria: a PBEsol-optimized structure of InSb (meta-GGA SCAN).

- Total DFT energy (no corrections): -35.48 eV/atom
- Formation energy from raw total energies: -0.159 eV per atom
- Magnetization: 0.0 μB per cell

a = 6.5109 Å, b = 6.5109 Å, c = 6.5109 Å
α = 90.00°, β = 90.00°, γ = 90.00°
With the nearest neighbours (Å) after each atom.
Space group F-43m (No. 216)
Asymmetric unit:
In1 0.0000 0.0000 0.0000  4 Sb 2.82
Sb1 0.2500 0.2500 0.7500  4 In 2.82


Record 4
Entry from Alexandria: a PBEsol-optimized structure of InSb3 (meta-GGA SCAN).

- Total DFT energy (no corrections): -36.13 eV/atom
- Formation energy from raw total energies: 0.163 eV per atom
- Magnetization: 0.0 μB per cell

a = 4.3605 Å, b = 4.3605 Å, c = 23.3167 Å
α = 90.00°, β = 90.00°, γ = 90.00°
With the nearest neighbours (Å) after each atom.
Space group I4/mmm (No. 139)
Asymmetric unit:
In1 0.0000 0.0000 0.1426  8 Sb 3.24-3.32
Sb1 0.0000 0.0000 0.3998  4 Sb 3.20, 4 In 3.24
Sb2 0.0000 0.5000 0.0000  8 Sb 3.08-3.20
Sb3 0.0000 0.5000 0.2500  4 Sb 3.08, 4 In 3.32


Record 5
Entry from Alexandria: a PBEsol-optimized structure of InSb (meta-GGA SCAN).

- Total DFT energy (no corrections): -35.47 eV/atom
- Formation energy from raw total energies: -0.147 eV per atom
- Magnetization: 0.0 μB per cell

a = 4.5913 Å, b = 4.5913 Å, c = 7.5550 Å
α = 90.00°, β = 90.00°, γ = 120.00°
With the nearest neighbours (Å) after each atom.
Space group P6_3mc (No. 186)
Asymmetric unit:
In1 0.3333 0.6667 0.0000  4 Sb 2.82-2.83
Sb1 0.3333 0.6667 0.6259  4 In 2.82-2.83


Record 6
Entry from Alexandria: a PBEsol-optimized structure of In5Sb (meta-GGA SCAN).

- Total DFT energy (no corrections): -33.95 eV/atom
- Formation energy from raw total energies: 0.083 eV per atom
- Magnetization: 0.0 μB per cell

a = 3.4233 Å, b = 6.7340 Å, c = 7.1907 Å
α = 104.63°, β = 92.48°, γ = 104.29°
With the nearest neighbours (Å) after each atom.
Space group P1 (No. 1)
Asymmetric unit:
In1 0.0000 0.0000 0.0000  2 Sb 3.20-3.28, 9 In 3.21-3.57
In2 0.0009 0.9987 0.4962  2 Sb 3.19-3.27, 9 In 3.20-3.57
In3 0.3255 0.6616 0.1637  8 In 3.19-3.42, 2 Sb 3.21-3.25
In4 0.3359 0.6646 0.6639  2 Sb 3.20-3.29, 8 In 3.20-3.42
In5 0.6635 0.3301 0.8301  10 In 3.19-3.42
Sb1 0.6698 0.3322 0.3321  8 In 3.19-3.29, 2 Sb 3.42


Look up the total DFT energy (no corrections) of the fourth one.
-36.13 eV/atom


What is the magnetization in the fifth record?
0.0 μB per cell